Record 1
# Nd3Ho7 | the Alexandria database | PBE | optimized geometry
data_Nd3Ho7
_symmetry_space_group_name_H-M 'P 1'
_symmetry_Int_Tables_number 1
_symmetry_space_group_name_Hall 'P 1'
_cell_length_a 9.4437
_cell_length_b 9.4437
_cell_length_c 7.1512
_cell_angle_alpha 100.91
_cell_angle_beta 100.91
_cell_angle_gamma 30.99
loop_
_atom_site_label
_atom_site_type_symbol
_atom_site_fract_x
_atom_site_fract_y
_atom_site_fract_z
_atom_site_occupancy
Nd1 Nd 0.0000 0.0000 0.0000 1
Nd2 Nd 0.1986 0.1986 0.6005 1
Nd3 Nd 0.8014 0.8014 0.3995 1
Ho1 Ho 0.0000 0.0000 0.5000 1
Ho2 Ho 0.1998 0.1998 0.0997 1
Ho3 Ho 0.3999 0.3999 0.1988 1
Ho4 Ho 0.4007 0.4007 0.7004 1
Ho5 Ho 0.5993 0.5993 0.2996 1
Ho6 Ho 0.6001 0.6001 0.8012 1
Ho7 Ho 0.8002 0.8002 0.9003 1
# Energy above the most stable polymorph in this dataset = 0.000 eV per atom
# ΔE_f = 0.02 eV per atom
# Total DFT energy (no corrections) = -0.3392 Ry per atom
# SG = C2/m, No. 12
# Crystal system = monoclinic
# DOS at the Fermi energy = 13.5 states/eV per cell



Record 2
# LiTc2Hg | the Alexandria database | PBE | optimized geometry
data_LiTc2Hg
_symmetry_space_group_name_H-M 'P 1'
_symmetry_Int_Tables_number 1
_symmetry_space_group_name_Hall 'P 1'
_cell_length_a 2.7637
_cell_length_b 4.4922
_cell_length_c 5.1259
_cell_angle_alpha 90.00
_cell_angle_beta 90.00
_cell_angle_gamma 90.00
loop_
_atom_site_label
_atom_site_type_symbol
_atom_site_fract_x
_atom_site_fract_y
_atom_site_fract_z
_atom_site_occupancy
Li1 Li 0.0000 0.0000 0.0000 1
Tc1 Tc 0.5000 0.5000 0.2197 1
Tc2 Tc 0.5000 0.5000 0.7803 1
Hg1 Hg 0.0000 0.0000 0.5000 1
# ΔE_f = 0.41 eV per atom
# Total DFT energy (no corrections) = -0.3913 Ry per atom
# SG = Pmmm, No. 47
# Crystal system = orthorhombic
# DOS at the Fermi energy = 3.4 states/eV per cell



Record 3
# TaTc2AgH | the Alexandria database | PBE | optimized geometry
data_TaTc2AgH
_symmetry_space_group_name_H-M 'P 1'
_symmetry_Int_Tables_number 1
_symmetry_space_group_name_Hall 'P 1'
_cell_length_a 4.8775
_cell_length_b 4.8775
_cell_length_c 3.3160
_cell_angle_alpha 90.00
_cell_angle_beta 90.00
_cell_angle_gamma 90.00
loop_
_atom_site_label
_atom_site_type_symbol
_atom_site_fract_x
_atom_site_fract_y
_atom_site_fract_z
_atom_site_occupancy
Ta1 Ta 0.0000 0.0000 0.0000 1
Tc1 Tc 0.0000 0.5000 0.0000 1
Tc2 Tc 0.5000 0.0000 0.0000 1
Ag1 Ag 0.5000 0.5000 0.5000 1
H1 H 0.0000 0.0000 0.5000 1
# Total DFT energy (no corrections) = -0.4895 Ry per atom
# SG = P4/mmm, No. 123
# Crystal system = tetragonal
# DOS at the Fermi energy = 3.6 states/eV per cell



Record 4
# Pr3UTl4S8 | the Alexandria database | PBE | optimized geometry
data_Pr3UTl4S8
_symmetry_space_group_name_H-M 'P 1'
_symmetry_Int_Tables_number 1
_symmetry_space_group_name_Hall 'P 1'
_cell_length_a 8.9262
_cell_length_b 8.9262
_cell_length_c 8.9262
_cell_angle_alpha 55.79
_cell_angle_beta 55.79
_cell_angle_gamma 55.79
loop_
_atom_site_label
_atom_site_type_symbol
_atom_site_fract_x
_atom_site_fract_y
_atom_site_fract_z
_atom_site_occupancy
Pr1 Pr 0.0000 0.5000 0.5000 1
Pr2 Pr 0.5000 0.0000 0.5000 1
Pr3 Pr 0.5000 0.5000 0.0000 1
U1 U 0.0000 0.0000 0.0000 1
Tl1 Tl 0.0000 0.0000 0.5000 1
Tl2 Tl 0.0000 0.5000 0.0000 1
Tl3 Tl 0.5000 0.0000 0.0000 1
Tl4 Tl 0.5000 0.5000 0.5000 1
S1 S 0.2283 0.2283 0.7457 1
S2 S 0.2283 0.7457 0.2283 1
S3 S 0.2543 0.7717 0.7717 1
S4 S 0.2646 0.2646 0.2646 1
S5 S 0.7354 0.7354 0.7354 1
S6 S 0.7457 0.2283 0.2283 1
S7 S 0.7717 0.2543 0.7717 1
S8 S 0.7717 0.7717 0.2543 1
# Total DFT energy (no corrections) = -0.4102 Ry per atom
# SG = R-3m, No. 166
# Crystal system = trigonal
# DOS at the Fermi energy = 8.0 states/eV per cell
# Energy relative to the elements, uncorrected = -1.32 eV per atom